1.
PBE-GGA La2Ag2Pd, optimized geometry; energy of formation = -0.32 eV per atom; M_tot = 0.000 μB per atom; energy above the lowest structure with this stoichiometry = 137 meV/atom
1.0
7.698 0.000 0.000
0.000 7.698 0.000
0.000 0.000 4.321
La Ag Pd
4 4 2
Direct
0.176 0.324 0.000
0.324 0.824 0.000
0.676 0.176 0.000
0.824 0.676 0.000
0.129 0.629 0.500
0.371 0.129 0.500
0.629 0.871 0.500
0.871 0.371 0.500
0.000 0.000 0.500
0.500 0.500 0.500

2.
PBE-GGA SmPuSeN, optimized geometry; M_tot = 1.360 μB per atom; formation energy without anion corrections = -1.466 eV/atom
1.0
1.871 1.081 6.634
-1.871 1.081 6.634
0.000 -2.161 6.634
Sm Pu Se N
1 1 1 1
Direct
0.000 0.000 0.000
0.467 0.467 0.467
0.233 0.233 0.233
0.736 0.736 0.736

3.
PBE-GGA Tm2ThFe, optimized geometry; energy of formation = -0.12 eV per atom; M_tot = 0.000 μB per atom; energy above the lowest structure with this stoichiometry = 0 meV/atom
1.0
6.951 0.000 0.000
0.000 9.395 0.000
0.000 0.000 6.212
Tm Th Fe
8 4 4
Direct
0.168 0.069 0.174
0.168 0.431 0.174
0.332 0.569 0.674
0.332 0.931 0.674
0.668 0.069 0.326
0.668 0.431 0.326
0.832 0.569 0.826
0.832 0.931 0.826
0.057 0.250 0.652
0.443 0.750 0.152
0.557 0.250 0.848
0.943 0.750 0.348
0.133 0.750 0.980
0.367 0.250 0.480
0.633 0.750 0.520
0.867 0.250 0.020

4.
PBE-GGA Ba2CaSbO, optimized geometry; M_tot = 0.000 μB per atom; formation energy without anion corrections = -1.514 eV/atom
1.0
5.618 0.000 0.000
0.000 5.618 0.000
0.000 0.000 4.750
Ba Ca Sb O
2 1 1 1
Direct
0.000 0.500 0.000
0.500 0.000 0.000
0.000 0.000 0.500
0.500 0.500 0.500
0.000 0.000 0.000

5.
PBE-GGA HgRu2Pt, optimized geometry; energy of formation = 0.57 eV per atom; M_tot = 0.003 μB per atom
1.0
4.747 0.000 0.000
0.000 4.747 0.000
0.000 0.000 2.854
Hg Ru Pt
1 2 1
Direct
0.000 0.000 0.000
0.000 0.500 0.500
0.500 0.000 0.500
0.500 0.500 0.000

6.
PBE-GGA Mg5Cd2GaPd2, optimized geometry; energy of formation = -0.30 eV per atom; M_tot = 0.000 μB per atom
1.0
10.548 0.000 0.000
0.000 10.548 0.000
0.000 0.000 3.623
Mg Cd Ga Pd
10 4 2 4
Direct
0.000 0.500 0.000
0.076 0.199 0.000
0.199 0.924 0.000
0.301 0.424 0.000
0.424 0.699 0.000
0.500 0.000 0.000
0.576 0.301 0.000
0.699 0.576 0.000
0.801 0.076 0.000
0.924 0.801 0.000
0.169 0.669 0.500
0.331 0.169 0.500
0.669 0.831 0.500
0.831 0.331 0.500
0.000 0.000 0.500
0.500 0.500 0.500
0.129 0.371 0.500
0.371 0.871 0.500
0.629 0.129 0.500
0.871 0.629 0.500

7.
PBE-GGA CsSr2Ti, optimized geometry; energy of formation = 0.75 eV per atom; M_tot = 0.956 μB per atom
1.0
0.000 4.495 4.495
4.495 0.000 4.495
4.495 4.495 0.000
Cs Sr Ti
1 2 1
Direct
0.000 0.000 0.000
0.250 0.250 0.250
0.750 0.750 0.750
0.500 0.500 0.500

8.
PBE-GGA BaAg2P, optimized geometry; energy of formation = -0.07 eV per atom; M_tot = 0.000 μB per atom
1.0
-1.964 2.692 4.876
1.964 -2.692 4.876
1.964 2.692 -4.876
Ba Ag P
1 2 1
Direct
0.000 0.000 0.000
0.306 0.806 0.500
0.694 0.194 0.500
0.500 0.500 0.000